VASP calculation (GGA-PBEsol) on crystalline Y2CuTc at its relaxed geometry.

Output
Fermi-level density of states (states/eV/f.u.): 3.50
Uncorrected energy (eV/atom): -7.3208
Size of the total moment (μB/cell): 0.0
Calculated formation energy (eV/atom): -0.010

CIF file:
```
data_Y2CuTc
_chemical_formula_sum 'Y2 Cu1 Tc1'
_cell_length_a 4.774
_cell_length_b 4.774
_cell_length_c 3.429
_cell_angle_alpha 90.00
_cell_angle_beta 90.00
_cell_angle_gamma 90.00
_symmetry_space_group_name_H-M 'P 4/m m m'
_symmetry_Int_Tables_number 123
_symmetry_space_group_name_Hall '-P 4 2'
loop_
_atom_site_label
_atom_site_fract_x
_atom_site_fract_y
_atom_site_fract_z
_atom_site_occupancy
Y1 0.000 0.500 0.000 1
Cu1 0.000 0.000 0.500 1
Tc1 0.500 0.500 0.500 1
```